Compound: Nd3Cr5Se12
Source: Alexandria via LeMat-Bulk
Functional: GGA-PBE
Structure: relaxed

Output
Its total magnetization is 60.00 μB/cell. The total energy is -489.054 eV for the cell shown.

Unit cell a=13.728 b=13.728 c=13.728 alpha=109.47 beta=109.47 gamma=109.47
Each line ends with the local moment (μB).
Element x y z (fractional)
1 Nd 0.625 0.250 0.375  0.07
2 Nd 0.250 0.625 0.875  0.07
3 Nd 0.375 0.750 0.625  0.07
4 Nd 0.750 0.375 0.125  0.07
5 Nd 0.375 0.625 0.250  0.07
6 Nd 0.625 0.375 0.750  0.07
7 Nd 0.125 0.875 0.750  0.07
8 Nd 0.875 0.125 0.250  0.07
9 Nd 0.125 0.250 0.875  0.07
10 Nd 0.250 0.125 0.375  0.07
11 Nd 0.875 0.750 0.125  0.07
12 Nd 0.750 0.875 0.625  0.07
13 Se 0.795 0.322 0.913  -0.11
14 Se 0.413 0.295 0.322  -0.11
15 Se 0.295 0.413 0.822  -0.11
16 Se 0.882 0.295 0.472  -0.11
17 Se 0.587 0.882 0.409  -0.11
18 Se 0.795 0.472 0.382  -0.11
19 Se 0.087 0.178 0.205  -0.11
20 Se 0.205 0.678 0.087  -0.11
21 Se 0.413 0.118 0.591  -0.11
22 Se 0.678 0.472 0.591  -0.11
23 Se 0.028 0.409 0.822  -0.11
24 Se 0.822 0.913 0.295  -0.11
25 Se 0.618 0.028 0.205  -0.11
26 Se 0.678 0.205 0.587  -0.11
27 Se 0.913 0.091 0.618  -0.11
28 Se 0.705 0.587 0.178  -0.11
29 Se 0.822 0.909 0.028  -0.11
30 Se 0.472 0.795 0.882  -0.11
31 Se 0.472 0.678 0.091  -0.11
32 Se 0.913 0.822 0.795  -0.11
33 Se 0.205 0.528 0.618  -0.11
34 Se 0.087 0.909 0.382  -0.11
35 Se 0.091 0.913 0.118  -0.11
36 Se 0.909 0.087 0.882  -0.11
37 Se 0.528 0.205 0.118  -0.11
38 Se 0.295 0.882 0.972  -0.11
39 Se 0.118 0.413 0.091  -0.11
40 Se 0.091 0.178 0.472  -0.11
41 Se 0.591 0.618 0.413  -0.11
42 Se 0.972 0.382 0.295  -0.11
43 Se 0.705 0.118 0.028  -0.11
44 Se 0.409 0.382 0.587  -0.11
45 Se 0.587 0.705 0.678  -0.11
46 Se 0.972 0.591 0.178  -0.11
47 Se 0.591 0.972 0.678  -0.11
48 Se 0.322 0.795 0.413  -0.11
49 Se 0.882 0.587 0.909  -0.11
50 Se 0.909 0.822 0.528  -0.11
51 Se 0.528 0.322 0.909  -0.11
52 Se 0.178 0.091 0.972  -0.11
53 Se 0.382 0.972 0.795  -0.11
54 Se 0.178 0.087 0.705  -0.11
55 Se 0.322 0.528 0.409  -0.11
56 Se 0.118 0.705 0.528  -0.11
57 Se 0.618 0.591 0.913  -0.11
58 Se 0.028 0.618 0.705  -0.11
59 Se 0.382 0.409 0.087  -0.11
60 Se 0.409 0.028 0.322  -0.11
61 Cr 0.250 0.875 0.125  2.87
62 Cr 0.000 0.000 0.500  3.14
63 Cr 0.250 0.375 0.625  2.87
64 Cr 0.125 0.375 0.250  2.87
65 Cr 0.375 0.250 0.125  2.87
66 Cr 0.500 0.000 0.500  3.14
67 Cr 0.000 0.500 0.000  3.14
68 Cr 0.000 0.000 0.000  3.14
69 Cr 0.500 0.500 0.500  3.14
70 Cr 0.000 0.500 0.500  3.14
71 Cr 0.375 0.125 0.750  2.87
72 Cr 0.500 0.500 0.000  3.14
73 Cr 0.125 0.750 0.375  2.87
74 Cr 0.500 0.000 0.000  3.14
75 Cr 0.875 0.625 0.750  2.87
76 Cr 0.625 0.875 0.250  2.87
77 Cr 0.750 0.625 0.375  2.87
78 Cr 0.625 0.750 0.875  2.87
79 Cr 0.750 0.125 0.875  2.87
80 Cr 0.875 0.250 0.625  2.87